No. 1
Below is an optimized crystal structure of Pr6Ag2Pt, with properties calculated at the GGA-PBE level.

- ΔE to the lowest computed polymorph: 0 meV/atom
- Energy: -4.786 eV per atom
- Total magnetization: 0.00 μB per atom
- E_form: -0.295 eV per atom

abc: 10.030 10.175 10.462
angles: 90.00 90.00 90.00
Space group Immm (No. 71)
Unique sites:
Pr 0.000 0.167 0.244 [8 per cell]
Pr 0.168 0.500 0.278 [8 per cell]
Pr 0.239 0.316 0.000 [8 per cell]
Ag 0.000 0.357 0.500 [4 per cell]
Ag 0.136 0.000 0.000 [4 per cell]
Pt 0.000 0.000 0.500 [2 per cell]
Pt 0.000 0.500 0.000 [2 per cell]

No. 2
Below is an optimized crystal structure of LaTcTe, with properties calculated at the GGA-PBE level.

- ΔE to the lowest computed polymorph: 0 meV/atom
- Raw formation energy: -363 meV/atom
- Energy: -6.508 eV per atom
- Total magnetization: 0.33 μB per atom

abc: 4.6287 4.6287 4.0375
angles: 90.00 90.00 120.00
Space group P-6m2 (No. 187)
Unique sites:
La 0.0000 0.0000 0.0000 [1 per cell]
Tc 0.6667 0.3333 0.5000 [1 per cell]
Te 0.3333 0.6667 0.5000 [1 per cell]

No. 3
Below is an optimized crystal structure of YClF2, with properties calculated at the GGA-PBE level.

- ΔE to the lowest computed polymorph: 570 meV/atom
- Raw formation energy: -2901 meV/atom
- Energy: -5.915 eV per atom
- Total magnetization: 0.00 μB per atom

abc: 6.080 6.080 6.080
angles: 90.00 90.00 90.00
Space group Fm-3m (No. 225)
Unique sites:
Y 0.000 0.000 0.000 [4 per cell]
Cl 0.000 0.000 0.500 [4 per cell]
F 0.250 0.250 0.250 [8 per cell]